(1)
First-principles (PBE-GGA) data for a relaxed structure of ZnCdSiIr, as listed in Alexandria.

Results
Volume ... 16.811 Å³ per atom
Density of states at the Fermi level ... 0.263 states/eV/atom
Electronic total energy ... -4.216 eV per atom
Distance to the lowest polymorph of the same formula ... 0.48 eV per formula unit

a b c (Å): 6.2681 3.0901 8.2506
angles (deg): 90.00 122.69 90.00
With the nearest neighbours (Å) after each atom.
Fractional positions:
Cd 0.8941 0.0000 0.0187  3 Zn 2.58-2.78, 1 Ir 2.74, 1 Si 2.84
Cd 0.8941 0.5000 0.5187  3 Zn 2.58-2.78, 1 Ir 2.74, 1 Si 2.84
Ir 0.3793 0.5000 0.2673  3 Si 2.43-2.56, 3 Zn 2.62-2.69
Ir 0.3793 0.0000 0.7673  3 Si 2.43-2.56, 3 Zn 2.62-2.69
Si 0.5330 0.5000 0.6253  3 Ir 2.43-2.56, 2 Zn 2.64
Si 0.5330 0.0000 0.1253  3 Ir 2.43-2.56, 2 Zn 2.64
Zn 0.1439 0.0000 0.3906  3 Cd 2.58-2.78, 3 Ir 2.62-2.69, 2 Si 2.64
Zn 0.1439 0.5000 0.8906  3 Cd 2.58-2.78, 3 Ir 2.62-2.69, 2 Si 2.64

***

(2)
First-principles (PBE-GGA) data for a relaxed structure of Hf4Sb2H, as listed in Alexandria.

Results
Volume ... 19.208 Å³ per atom
Density of states at the Fermi level ... 0.468 states/eV/atom
Electronic total energy ... -7.770 eV per atom
Distance to the lowest polymorph of the same formula ... 0.00 eV per formula unit

a b c (Å): 4.2224 4.2224 8.1112
angles (deg): 74.91 74.91 90.00
With the nearest neighbours (Å) after each atom.
Fractional positions:
Sb 0.6423 0.6423 0.7155  9 Hf 2.89-3.01
Sb 0.3577 0.3577 0.2845  9 Hf 2.89-3.01
Hf 0.8340 0.8340 0.3320  1 H 2.50
Hf 0.5000 0.0000 0.0000  2 H 2.11
Hf 0.0000 0.5000 0.0000  2 H 2.11
Hf 0.1660 0.1660 0.6680  1 H 2.50
H 0.0000 0.0000 0.0000  4 Hf 2.11

***

(3)
First-principles (PBE-GGA) data for a relaxed structure of Sc8CN3O3, as listed in Alexandria.

Results
Volume ... 12.406 Å³ per atom
Density of states at the Fermi level ... 0.175 states/eV/atom
Electronic total energy ... -8.784 eV per atom

a b c (Å): 6.4010 6.4010 6.4157
angles (deg): 119.92 90.00 120.00
With the nearest neighbours (Å) after each atom.
Fractional positions:
N 0.0000 0.0000 0.0000  6 Sc 2.22-2.25
N 0.0000 0.5000 0.0000  6 Sc 2.22-2.25
N 0.5000 0.5000 0.0000  6 Sc 2.22-2.25
Sc 0.7603 0.0045 0.7487  1 C 2.21, 2 N 2.25, 2 O 2.29
Sc 0.2446 0.4891 0.2337  3 N 2.22, 3 O 2.32
Sc 0.7554 0.5109 0.7663  3 N 2.22, 3 O 2.32
Sc 0.2397 0.9955 0.2513  1 C 2.21, 2 N 2.25, 2 O 2.29
Sc 0.2442 0.4884 0.7487  1 C 2.21, 2 N 2.25, 2 O 2.29
Sc 0.7558 0.5116 0.2513  1 C 2.21, 2 N 2.25, 2 O 2.29
Sc 0.2442 0.0045 0.7487  1 C 2.21, 2 N 2.25, 2 O 2.29
Sc 0.7558 0.9955 0.2513  1 C 2.21, 2 N 2.25, 2 O 2.29
C 0.0000 0.0000 0.5000  6 Sc 2.21
O 0.0000 0.5000 0.5000  6 Sc 2.29-2.32
O 0.5000 0.0000 0.5000  6 Sc 2.29-2.32
O 0.5000 0.5000 0.5000  6 Sc 2.29-2.32

***

(4)
First-principles (PBE-GGA) data for a relaxed structure of FeRe2Si, as listed in Alexandria.

Results
Volume ... 13.259 Å³ per atom
Density of states at the Fermi level ... 0.708 states/eV/atom
Electronic total energy ... -9.761 eV per atom

a b c (Å): 4.2610 4.2610 2.9210
angles (deg): 90.00 90.00 90.02
With the nearest neighbours (Å) after each atom.
Fractional positions:
Fe 0.0000 0.5000 0.5000  8 Re 2.58
Re 0.0000 0.0000 0.0000  4 Fe 2.58, 4 Si 2.58
Re 0.5000 0.5000 0.0000  4 Si 2.58, 4 Fe 2.58
Si 0.5000 0.0000 0.5000  8 Re 2.58

***

(5)
First-principles (PBE-GGA) data for a relaxed structure of SmPd4Pb2, as listed in Alexandria.

Results
DFT formation energy ... -389.9 meV per atom
Volume ... 20.709 Å³ per atom
Density of states at the Fermi level ... 0.772 states/eV/atom
Electronic total energy ... -5.091 eV per atom

a b c (Å): 4.5884 7.9489 7.9489
angles (deg): 90.00 90.00 90.00
With the nearest neighbours (Å) after each atom.
Fractional positions:
Pb 0.0000 0.2064 0.7936  6 Pd 2.78-2.82
Pb 0.0000 0.7936 0.2064  6 Pd 2.78-2.82
Pb 0.5000 0.7064 0.7064  6 Pd 2.78-2.82
Pb 0.5000 0.2936 0.2936  6 Pd 2.78-2.82
Pd 0.0000 0.6335 0.8899  6 Pd 2.75-3.01, 3 Pb 2.78-2.82
Pd 0.5000 0.8665 0.3899  6 Pd 2.75-3.01, 3 Pb 2.78-2.82
Pd 0.5000 0.6101 0.1335  6 Pd 2.75-3.01, 3 Pb 2.78-2.82
Pd 0.5000 0.1335 0.6101  6 Pd 2.75-3.01, 3 Pb 2.78-2.82
Pd 0.0000 0.3665 0.1101  6 Pd 2.75-3.01, 3 Pb 2.78-2.82
Pd 0.0000 0.8899 0.6335  6 Pd 2.75-3.01, 3 Pb 2.78-2.82
Pd 0.5000 0.3899 0.8665  6 Pd 2.75-3.01, 3 Pb 2.78-2.82
Pd 0.0000 0.1101 0.3665  6 Pd 2.75-3.01, 3 Pb 2.78-2.82
Sm 0.0000 0.5000 0.5000  6 Pb 3.26-3.30, 4 Pd 3.28
Sm 0.5000 0.0000 0.0000  6 Pb 3.26-3.30, 4 Pd 3.28

***

(6)
First-principles (PBE-GGA) data for a relaxed structure of SnPH2, as listed in Alexandria.

Results
Volume ... 13.650 Å³ per atom
Density of states at the Fermi level ... 0.332 states/eV/atom
Electronic total energy ... -3.625 eV per atom
Distance to the lowest polymorph of the same formula ... 0.00 eV per formula unit

a b c (Å): 5.3637 5.3637 5.3657
angles (deg): 60.01 60.01 90.00
With the nearest neighbours (Å) after each atom.
Fractional positions:
H 0.3760 0.6250 0.2500  2 P 1.64
H 0.3740 0.1250 0.2500  2 P 1.64
H 0.8750 0.6240 0.7500  2 P 1.64
H 0.3750 0.6260 0.7500  2 P 1.64
P 0.5000 0.5000 0.0000  4 H 1.64
P 0.2500 0.7500 0.5000  4 H 1.64
Sn 0.0000 0.0000 0.0000  12 H 3.14-3.15, 4 Sn 3.29, 4 P 3.29
Sn 0.7500 0.2500 0.5000  12 H 3.14-3.15, 4 P 3.29, 4 Sn 3.29